The following is a DFT calculation (PBE-GGA) of a relaxed HfZrCd4 crystal.

Computed properties:
energy of formation from the pure elements: -1.4 kJ/mol of atoms
symmetry: Cmcm

Cell lengths 5.7872, 8.4382, 6.2555 Å; angles 90.00, 57.28, 90.00 degrees
With the nearest neighbours (Å) after each atom.
Sites, in units of the cell vectors:
Hf  0.4238  0.5000  0.3717  2 Zr 3.13, 12 Cd 3.19-3.24
Hf  0.9105  0.0000  0.6283  2 Zr 3.13, 12 Cd 3.19-3.24
Zr  0.9231  0.0000  0.1220  2 Hf 3.13, 12 Cd 3.20-3.24
Zr  0.4112  0.5000  0.8780  2 Hf 3.13, 12 Cd 3.20-3.24
Cd  0.9172  0.6666  0.3758  5 Cd 2.81-3.14
Cd  0.4171  0.8334  0.6242  5 Cd 2.81-3.14
Cd  0.4171  0.8334  0.1256  5 Cd 2.81-3.14
Cd  0.9172  0.6666  0.8744  5 Cd 2.81-3.14
Cd  0.9172  0.3334  0.8744  5 Cd 2.81-3.14
Cd  0.4171  0.1666  0.1256  5 Cd 2.81-3.14
Cd  0.4171  0.1666  0.6242  5 Cd 2.81-3.14
Cd  0.9172  0.3334  0.3758  5 Cd 2.81-3.14